# 1
Pr2BeAlPd6 PBE optimized geometry; VASP energy = -5.425 eV/atom; magnetization = 0.000 μB/atom; ΔE_f = -0.61 eV per atom
1.0
-3.231 3.237 4.564
3.231 -3.237 4.564
3.231 3.237 -4.564
Pr Be Al Pd
2 1 1 6
Cartesian
0.000 0.000 2.282
0.000 0.000 6.846
0.000 3.237 0.000
3.231 0.000 0.000
1.533 1.704 0.000
1.699 -1.533 4.564
3.231 0.000 2.400
0.000 3.237 2.164
1.533 4.770 0.000
1.699 1.533 4.564

=====

# 2
Pr2BeAl4Pd3 PBE optimized geometry; VASP energy = -5.066 eV/atom; magnetization = 0.000 μB/atom; ΔE_f = -0.68 eV per atom
1.0
4.300 0.000 0.000
0.000 4.300 0.000
0.000 0.000 10.387
Pr Be Al Pd
2 1 4 3
Cartesian
0.000 2.150 2.502
2.150 0.000 7.885
2.150 2.150 0.000
0.000 0.000 5.194
0.000 2.150 9.104
2.150 0.000 1.283
2.150 2.150 5.194
0.000 0.000 0.000
0.000 2.150 6.563
2.150 0.000 3.824

=====

# 3
PrBe2AlPd5 PBE optimized geometry; VASP energy = -5.243 eV/atom; magnetization = 0.000 μB/atom; ΔE_f = -0.58 eV per atom
1.0
4.421 0.000 0.000
0.000 4.421 0.000
0.000 0.000 7.217
Pr Be Al Pd
1 2 1 5
Cartesian
0.000 0.000 0.000
2.211 2.211 2.444
2.211 2.211 4.773
0.000 0.000 3.608
0.000 2.211 2.145
0.000 2.211 5.072
2.211 0.000 2.145
2.211 0.000 5.072
2.211 2.211 0.000

=====

# 4
BeAlPdPt PBE optimized geometry; VASP energy = -5.456 eV/atom; magnetization = 0.000 μB/atom; ΔE_f = -0.78 eV per atom
1.0
2.825 0.000 0.000
0.000 2.825 0.000
0.000 0.000 6.537
Be Al Pd Pt
1 1 1 1
Cartesian
0.000 0.000 0.000
0.000 0.000 3.266
1.413 1.413 5.042
1.413 1.413 1.451

=====

# 5
BeAlPdS2 PBE optimized geometry; formation energy from raw total energies = 292 kJ/mol of formula units; VASP energy = -3.577 eV/atom; magnetization = 0.000 μB/atom
1.0
4.517 0.000 0.000
0.000 4.517 0.000
0.000 0.000 4.779
Be Al Pd S
1 1 1 2
Cartesian
0.000 0.000 0.000
2.258 2.258 2.389
2.258 2.258 0.000
0.000 2.258 2.389
2.258 0.000 2.389

=====

# 6
Sc2Be2AlPd5 PBE optimized geometry; VASP energy = -5.784 eV/atom; magnetization = 0.000 μB/atom; ΔE_f = -0.80 eV per atom
1.0
9.442 0.000 0.000
0.000 9.442 0.000
0.000 0.000 3.306
Sc Be Al Pd
4 4 2 10
Cartesian
1.656 3.065 0.000
3.065 7.786 0.000
6.377 1.656 0.000
7.786 6.377 0.000
1.152 5.873 0.000
3.569 1.152 0.000
5.873 8.290 0.000
8.290 3.569 0.000
0.000 0.000 0.000
4.721 4.721 0.000
0.000 4.721 1.653
0.658 7.462 1.653
1.980 0.658 1.653
2.741 5.379 1.653
4.063 2.741 1.653
4.721 0.000 1.653
5.379 6.701 1.653
6.701 4.063 1.653
7.462 8.784 1.653
8.784 1.980 1.653

=====

# 7
Be2AlPdSe PBE optimized geometry; formation energy from raw total energies = 427 kJ/mol of formula units; VASP energy = -3.090 eV/atom; magnetization = 0.000 μB/atom
1.0
4.262 0.000 0.000
0.000 4.262 0.000
0.000 0.000 5.141
Be Al Pd Se
2 1 1 1
Cartesian
0.000 2.131 0.000
2.131 0.000 0.000
0.000 0.000 0.000
2.131 2.131 2.570
0.000 0.000 2.570

=====

# 8
Sm2BeAl4Pd3 PBE optimized geometry; VASP energy = -5.067 eV/atom; magnetization = 0.000 μB/atom; ΔE_f = -0.70 eV per atom
1.0
4.216 0.000 0.000
0.000 4.216 0.000
0.000 0.000 10.513
Sm Be Al Pd
2 1 4 3
Cartesian
0.000 2.108 2.540
2.108 0.000 7.973
2.108 2.108 0.000
0.000 0.000 5.256
0.000 2.108 9.203
2.108 0.000 1.310
2.108 2.108 5.256
0.000 0.000 0.000
0.000 2.108 6.680
2.108 0.000 3.833

=====

# 9
SmBeAlPd3 PBE optimized geometry; VASP energy = -5.259 eV/atom; magnetization = 0.000 μB/atom; ΔE_f = -0.63 eV per atom
1.0
2.869 -5.973 0.000
2.869 5.973 0.000
0.000 0.000 6.172
Sm Be Al Pd
2 2 2 6
Cartesian
2.869 3.425 4.629
2.869 -3.425 1.543
2.869 0.454 4.629
2.869 -0.454 1.543
2.869 4.458 1.543
2.869 -4.458 4.629
1.383 0.000 0.000
1.383 0.000 3.086
2.869 2.009 1.543
2.869 -2.009 4.629
4.354 0.000 0.000
4.354 0.000 3.086

=====

# 10
Sm3Be2AlPd9 PBE optimized geometry; VASP energy = -5.498 eV/atom; magnetization = 0.000 μB/atom; ΔE_f = -0.69 eV per atom
1.0
5.898 0.000 0.000
-2.949 5.107 0.000
0.000 0.000 9.054
Sm Be Al Pd
3 2 1 9
Cartesian
0.000 0.000 0.000
0.000 3.405 5.971
2.949 1.702 3.083
0.000 3.405 1.378
2.949 1.702 7.676
0.000 0.000 4.527
-1.474 2.554 0.000
0.000 1.666 2.679
-1.506 4.275 2.679
1.442 0.833 6.376
2.949 0.000 0.000
1.474 2.554 0.000
1.506 4.275 2.679
4.455 0.833 6.376
2.949 3.442 6.376

=====

# 11
SmBe2AlPd5 PBE optimized geometry; VASP energy = -5.260 eV/atom; magnetization = 0.000 μB/atom; ΔE_f = -0.61 eV per atom
1.0
4.398 0.000 0.000
0.000 4.398 0.000
0.000 0.000 7.159
Sm Be Al Pd
1 2 1 5
Cartesian
0.000 0.000 0.000
2.199 2.199 2.429
2.199 2.199 4.730
0.000 0.000 3.580
0.000 2.199 2.098
0.000 2.199 5.061
2.199 0.000 2.098
2.199 0.000 5.061
2.199 2.199 0.000

=====

# 12
Sr2BeAlPd6 PBE optimized geometry; VASP energy = -4.805 eV/atom; magnetization = 0.000 μB/atom; ΔE_f = -0.61 eV per atom
1.0
6.127 0.000 0.000
-3.057 5.320 0.000
-0.019 -3.524 6.010
Sr Be Al Pd
2 1 1 6
Cartesian
-0.007 1.781 1.049
3.057 0.015 4.960
-0.010 -1.762 3.005
3.063 0.000 0.000
-1.402 2.595 4.079
-0.001 0.166 4.088
1.653 -0.797 1.923
1.397 2.593 4.087
3.052 1.629 1.922
4.452 -0.799 1.931

=====

# 13
TbBeAlPd3 PBE optimized geometry; VASP energy = -5.240 eV/atom; magnetization = 0.000 μB/atom; ΔE_f = -0.63 eV per atom
1.0
2.849 -5.979 0.000
2.849 5.979 0.000
0.000 0.000 6.082
Tb Be Al Pd
2 2 2 6
Cartesian
2.849 3.461 4.562
2.849 -3.461 1.521
2.849 0.536 4.562
2.849 -0.536 1.521
2.849 4.426 1.521
2.849 -4.426 4.562
1.368 0.000 0.000
1.368 0.000 3.041
2.849 1.994 1.521
2.849 -1.994 4.562
4.331 0.000 0.000
4.331 0.000 3.041

=====

# 14
Tb3Be2AlPd9 PBE optimized geometry; VASP energy = -5.492 eV/atom; magnetization = 0.000 μB/atom; ΔE_f = -0.70 eV per atom
1.0
5.863 0.000 0.000
-2.931 5.077 0.000
0.000 0.000 9.010
Tb Be Al Pd
3 2 1 9
Cartesian
0.000 0.000 0.000
0.000 3.385 6.011
2.931 1.692 2.998
0.000 3.385 1.373
2.931 1.692 7.636
0.000 0.000 4.505
-1.466 2.539 0.000
0.000 1.649 2.652
-1.504 4.253 2.652
1.428 0.824 6.357
2.931 0.000 0.000
1.466 2.539 0.000
1.504 4.253 2.652
4.435 0.824 6.357
2.931 3.429 6.357

=====

# 15
TbBe2AlPd5 PBE optimized geometry; VASP energy = -5.269 eV/atom; magnetization = 0.000 μB/atom; ΔE_f = -0.63 eV per atom
1.0
4.381 0.000 0.000
0.000 4.381 0.000
0.000 0.000 7.107
Tb Be Al Pd
1 2 1 5
Cartesian
0.000 0.000 0.000
2.190 2.190 2.414
2.190 2.190 4.693
0.000 0.000 3.554
0.000 2.190 2.058
0.000 2.190 5.049
2.190 0.000 2.058
2.190 0.000 5.049
2.190 2.190 0.000

=====

# 16
Tb2Be2AlPd5 PBE optimized geometry; VASP energy = -5.425 eV/atom; magnetization = 0.000 μB/atom; ΔE_f = -0.78 eV per atom
1.0
9.661 0.000 0.000
0.000 9.661 0.000
0.000 0.000 3.423
Tb Be Al Pd
4 4 2 10
Cartesian
1.715 3.116 0.000
3.116 7.946 0.000
6.545 1.715 0.000
7.946 6.545 0.000
1.150 5.981 0.000
3.680 1.150 0.000
5.981 8.511 0.000
8.511 3.680 0.000
0.000 0.000 0.000
4.830 4.830 0.000
0.000 4.830 1.711
0.642 7.606 1.711
2.055 0.642 1.711
2.776 5.472 1.711
4.189 2.776 1.711
4.830 0.000 1.711
5.472 6.885 1.711
6.885 4.189 1.711
7.606 9.019 1.711
9.019 2.055 1.711

=====

# 17
BeAlTcPd2 PBE optimized geometry; VASP energy = -4.571 eV/atom; magnetization = 0.000 μB/atom; ΔE_f = 1.07 eV per atom
1.0
4.798 0.000 0.000
0.000 4.798 0.000
0.000 0.000 4.182
Be Al Tc Pd
1 1 1 2
Cartesian
0.000 0.000 0.000
2.399 2.399 0.000
0.000 0.000 2.091
0.000 2.399 2.091
2.399 0.000 2.091

=====

# 18
ThBeAl2Pd4 PBE optimized geometry; VASP energy = -5.699 eV/atom; magnetization = 0.000 μB/atom; ΔE_f = -0.77 eV per atom
1.0
2.125 1.227 8.575
-2.125 1.227 8.575
0.000 -2.454 8.575
Th Be Al Pd
1 1 2 4
Cartesian
0.000 0.000 0.000
0.000 0.000 12.862
0.000 0.000 6.060
0.000 0.000 19.664
0.000 0.000 3.485
0.000 0.000 10.432
0.000 0.000 15.292
0.000 0.000 22.239

=====

# 19
Th2BeAl4Pd3 PBE optimized geometry; VASP energy = -5.600 eV/atom; magnetization = 0.000 μB/atom; ΔE_f = -0.69 eV per atom
1.0
4.308 0.000 0.000
0.000 4.308 0.000
0.000 0.000 10.193
Th Be Al Pd
2 1 4 3
Cartesian
0.000 2.154 2.450
2.154 0.000 7.743
2.154 2.154 0.000
0.000 0.000 5.096
0.000 2.154 8.926
2.154 0.000 1.267
2.154 2.154 5.096
0.000 0.000 0.000
0.000 2.154 6.448
2.154 0.000 3.744

=====

# 20
ThBeAlPd3 PBE optimized geometry; VASP energy = -5.735 eV/atom; magnetization = 0.000 μB/atom; ΔE_f = -0.66 eV per atom
1.0
2.812 -5.820 0.000
2.812 5.820 0.000
0.000 0.000 6.578
Th Be Al Pd
2 2 2 6
Cartesian
2.812 3.450 4.933
2.812 -3.450 1.644
2.812 0.423 4.933
2.812 -0.423 1.644
2.812 4.461 1.644
2.812 -4.461 4.933
1.403 0.000 0.000
1.403 0.000 3.289
2.812 1.998 1.644
2.812 -1.998 4.933
4.221 0.000 0.000
4.221 0.000 3.289

=====

# 21
ThBe2AlPd5 PBE optimized geometry; VASP energy = -5.543 eV/atom; magnetization = 0.000 μB/atom; ΔE_f = -0.59 eV per atom
1.0
4.414 0.000 0.000
0.000 4.414 0.000
0.000 0.000 7.251
Th Be Al Pd
1 2 1 5
Cartesian
0.000 0.000 0.000
2.207 2.207 2.475
2.207 2.207 4.776
0.000 0.000 3.626
0.000 2.207 2.123
0.000 2.207 5.128
2.207 0.000 2.123
2.207 0.000 5.128
2.207 2.207 0.000